Density functional theory data (PBE) for a relaxed Be5ZnAu6 crystal.

Cell lengths 4.2312, 6.0962, 6.6900 Å; angles 90.00, 108.36, 90.00 degrees
Last column: nearest neighbours and their distance in Å.
Sites, in units of the cell vectors:
1 Be 0.0000 0.0000 0.0000  8 Au 2.55-2.66
2 Be 0.3336 0.5000 0.6682  8 Au 2.57-2.65
3 Be 0.3361 0.0000 0.6726  8 Au 2.52-2.59
4 Be 0.6639 0.0000 0.3274  8 Au 2.52-2.59
5 Be 0.6664 0.5000 0.3318  8 Au 2.57-2.65
6 Zn 0.0000 0.5000 0.0000  8 Au 2.66-2.70
7 Au 0.1733 0.2441 0.3464  7 Be 2.55-2.66, 1 Zn 2.70
8 Au 0.1733 0.7559 0.3464  7 Be 2.55-2.66, 1 Zn 2.70
9 Au 0.5000 0.2349 0.0000  6 Be 2.52-2.65, 2 Zn 2.66
10 Au 0.5000 0.7651 0.0000  6 Be 2.52-2.65, 2 Zn 2.66
11 Au 0.8267 0.2441 0.6536  7 Be 2.55-2.66, 1 Zn 2.70
12 Au 0.8267 0.7559 0.6536  7 Be 2.55-2.66, 1 Zn 2.70

Output
- N(E_F): 2.49 states/eV/f.u.
- ΔE_f: -0.111 eV/atom
- Theoretical density: 13.1 Mg/m³
- VASP energy: -40.90 eV per cell